Here is a relaxed structure of Sr4PuTh3N8 from Alexandria via LeMat-Bulk. Energies are from PBE-GGA.

POSCAR file:
```
Sr4PuTh3N8
1.0
7.3997 0.0000 0.0000
0.0000 7.4246 0.0111
-3.6998 -3.6955 5.2359
Sr N Th Pu
4 8 3 1
Direct
0.0000 0.0000 0.5000
0.5000 0.0000 0.5000
0.5000 0.0000 0.0000
0.0000 0.0000 0.0000
0.2556 0.2938 0.0247
0.7362 0.7085 0.4723
0.2309 0.7062 0.9753
0.7444 0.7062 0.9753
0.7691 0.2938 0.0247
0.7688 0.2936 0.5376
0.2638 0.2915 0.5277
0.2312 0.7064 0.4624
0.0000 0.5000 0.5000
0.5000 0.5000 0.0000
0.5000 0.5000 0.5000
0.0000 0.5000 0.0000
```

Properties
Total DFT energy (no corrections), eV/atom: -8.09
Total magnetization, μB per formula unit: 4.00
E_form (uncorrected), eV/atom: -1.223
D(E_F), states/eV/f.u.: 10.34

---

Here is a relaxed structure of Sr2PuThN4 from Alexandria via LeMat-Bulk. Energies are from PBE-GGA.

POSCAR file:
```
Sr2PuThN4
1.0
-3.5061 -0.9650 0.3872
1.5947 -3.8894 4.7470
-1.3342 5.7934 2.3563
N Sr Th Pu
4 2 1 1
Direct
0.0000 0.2561 0.7933
0.5000 0.2229 0.2010
0.0000 0.7439 0.2067
0.5000 0.7771 0.7990
0.0000 0.5000 0.5000
0.5000 0.0000 0.5000
0.5000 0.5000 0.0000
0.0000 0.0000 0.0000
```

Properties
Total DFT energy (no corrections), eV/atom: -8.45
Total magnetization, μB per formula unit: 4.00
E_form (uncorrected), eV/atom: -1.150
D(E_F), states/eV/f.u.: 8.33

---

Here is a relaxed structure of SrPuTiN3 from Alexandria via LeMat-Bulk. Energies are from PBE-GGA.

POSCAR file:
```
SrPuTiN3
1.0
3.6038 0.0000 0.0000
0.0000 7.3337 0.7785
0.0000 -2.0179 7.7393
N Pu Ti Sr
6 2 2 2
Direct
0.7500 0.4314 0.1198
0.7500 0.1560 0.5138
0.2500 0.1262 0.8402
0.2500 0.5686 0.8802
0.2500 0.8440 0.4862
0.7500 0.8738 0.1598
0.2500 0.6352 0.1554
0.7500 0.3648 0.8446
0.2500 0.1073 0.6008
0.7500 0.8927 0.3992
0.7500 0.8349 0.8236
0.2500 0.1651 0.1764
```

Properties
Total DFT energy (no corrections), eV/atom: -9.25
Total magnetization, μB per formula unit: 4.63
E_form (uncorrected), eV/atom: -1.107
D(E_F), states/eV/f.u.: 8.08

---

Here is a relaxed structure of Sr3Tm2PuN6 from Alexandria via LeMat-Bulk. Energies are from PBE-GGA.

POSCAR file:
```
Sr3Tm2PuN6
1.0
-0.8835 2.7082 -5.3541
-4.6014 -2.8153 2.7717
0.4092 5.1189 3.6668
N Pu Tm Sr
6 1 2 3
Direct
0.3788 0.0676 0.2030
0.9324 0.6212 0.7970
0.7580 0.7580 0.2015
0.0676 0.3788 0.2030
0.6212 0.9324 0.7970
0.2420 0.2420 0.7985
0.0000 0.0000 0.0000
0.6667 0.3333 0.0000
0.3333 0.6667 0.0000
0.8315 0.1685 0.5000
0.5000 0.5000 0.5000
0.1685 0.8315 0.5000
```

Properties
Total DFT energy (no corrections), eV/atom: -7.69
Total magnetization, μB per formula unit: 2.00
E_form (uncorrected), eV/atom: -1.169
D(E_F), states/eV/f.u.: 6.30

---

Here is a relaxed structure of SrPu4UN8 from Alexandria via LeMat-Bulk. Energies are from PBE-GGA.

POSCAR file:
```
SrPu4UN8
1.0
6.8778 0.0000 0.0000
3.4389 5.9563 0.0000
3.4389 1.9854 5.5845
U N Pu Sr
1 8 4 1
Direct
0.3887 0.3887 0.8339
0.2486 0.2486 0.2543
0.2564 0.7638 0.7234
0.7372 0.2179 0.3078
0.7638 0.2564 0.7234
0.7687 0.7687 0.6938
0.7372 0.7372 0.3078
0.2179 0.7372 0.3078
0.2564 0.2564 0.7234
0.0022 0.0022 0.4951
0.5005 0.0022 0.4951
0.0022 0.5005 0.4951
0.6216 0.6216 0.1351
0.9987 0.9987 0.0039
```

Properties
Total DFT energy (no corrections), eV/atom: -10.73
Total magnetization, μB per formula unit: 6.31
E_form (uncorrected), eV/atom: -0.946
D(E_F), states/eV/f.u.: 27.38

---

Here is a relaxed structure of Sr2PuUN5 from Alexandria via LeMat-Bulk. Energies are from PBE-GGA.

POSCAR file:
```
Sr2PuUN5
1.0
-1.0439 -2.9135 -2.7231
2.5765 -2.6412 1.8382
-6.5107 -2.6447 5.3255
Sr N Pu U
2 5 1 1
Direct
0.5000 0.5000 0.2731
0.5000 0.5000 0.7269
0.0000 0.0000 0.7724
0.0000 0.5000 0.5000
0.5000 0.0000 0.5000
0.0000 0.0000 0.2276
0.5000 0.5000 0.0000
0.0000 0.0000 0.0000
0.0000 0.0000 0.5000
```

Properties
Total DFT energy (no corrections), eV/atom: -8.82
Total magnetization, μB per formula unit: 3.07
E_form (uncorrected), eV/atom: -0.972
D(E_F), states/eV/f.u.: 5.94